DFT (GGA-PBE) results for an optimized crystal structure of Sm2DyHo2Er2.

Properties
Calculated formation energy: 87 meV/atom
Calculated density: 8.28 g/cm3

a b c (Å): 11.6400 3.5037 11.7449
angles (deg): 90.00 109.32 90.00
Space group C2/m (No. 12)
Asymmetric unit:
Sm1 0.1706 0.0000 0.0841 [4 per cell]
Dy1 0.0000 0.5000 0.5000 [2 per cell]
Ho1 0.0510 0.0000 0.7698 [4 per cell]
Er1 0.2256 0.5000 0.3629 [4 per cell]